Run P
Material: HoAl4Pd2
Method: DFT, GGA-PBE
State: optimized geometry

a b c (Å): 5.5168 5.5168 5.2792
angles (deg): 60.82 60.82 73.29
Positions (direct):
Al 0.9876 0.3940 0.3233
Al 0.3940 0.9876 0.3233
Al 0.6060 0.0124 0.6767
Pd 0.4431 0.4431 0.8085
Ho 0.0000 0.0000 0.0000
Al 0.0124 0.6060 0.6767
Pd 0.5569 0.5569 0.1915

The symmetry is C2/m. Its total magnetic moment is 0.0 μB per formula unit.

Run Q
Material: HoAl4Pd2
Method: DFT, GGA-PBE
State: optimized geometry

a b c (Å): 4.1281 7.7406 7.7406
angles (deg): 90.00 90.00 90.00
Positions (direct):
Al 0.5000 0.8358 0.4144
Al 0.5000 0.1642 0.5856
Ho 0.0000 0.5000 0.5000
Al 0.0000 0.6642 0.9144
Al 0.0000 0.9144 0.6642
Pd 0.0000 0.7805 0.2195
Pd 0.0000 0.2195 0.7805
Al 0.5000 0.5856 0.1642
Al 0.5000 0.4144 0.8358
Al 0.0000 0.3358 0.0856
Pd 0.5000 0.7195 0.7195
Ho 0.5000 0.0000 0.0000
Pd 0.5000 0.2805 0.2805
Al 0.0000 0.0856 0.3358

The symmetry is P4_2/mnm. Its total magnetic moment is 0.0 μB per formula unit.

Energy ordering: run Q at the bottom, the next structure 11.5 kJ/mol of atoms above.

Run P
Material: HoAl3Pd
Method: DFT, GGA-PBE
State: optimized geometry

a b c (Å): 4.1459 8.3115 10.9470
angles (deg): 90.00 90.00 90.00
Positions (direct):
Al 0.7500 0.1405 0.7849
Al 0.7500 0.4341 0.9107
Pd 0.2500 0.1035 0.6414
Al 0.7500 0.1102 0.2038
Pd 0.7500 0.3965 0.1414
Pd 0.7500 0.8965 0.3586
Al 0.2500 0.8898 0.7962
Ho 0.7500 0.3162 0.4905
Al 0.2500 0.3898 0.7038
Pd 0.2500 0.6035 0.8586
Ho 0.2500 0.1838 0.9905
Al 0.2500 0.5659 0.0893
Al 0.2500 0.8595 0.2151
Ho 0.7500 0.8162 0.0095
Al 0.2500 0.3595 0.2849
Ho 0.2500 0.6838 0.5095
Al 0.7500 0.6405 0.7151
Al 0.7500 0.6102 0.2962
Al 0.7500 0.9341 0.5893
Al 0.2500 0.0659 0.4107

The symmetry is Pnma. Its total magnetic moment is 0.0 μB per formula unit.

Run Q
Material: HoAl3Pd
Method: DFT, GGA-PBE
State: optimized geometry

a b c (Å): 4.1800 6.7840 6.8574
angles (deg): 74.77 90.00 90.00
Positions (direct):
Al 0.3810 0.4100 0.7551
Al 0.8809 0.2648 0.0509
Al 0.8810 0.6550 0.5030
Pd 0.3810 0.7898 0.6631
Al 0.3810 0.9978 0.9176
Al 0.3810 0.0198 0.3030
Pd 0.8810 0.8850 0.1430
Ho 0.8810 0.1446 0.5746
Al 0.8810 0.6770 0.8884
Ho 0.3810 0.5302 0.2315

The symmetry is P2_1/m. Its total magnetic moment is 0.0 μB per formula unit.

Energy ordering: run P at the bottom, the next structure 0.9 kJ/mol of atoms above.

Run P
Material: PmHoAlPd
Method: DFT, GGA-PBE
State: optimized geometry

a b c (Å): 3.8351 4.5036 5.9739
angles (deg): 90.00 108.72 90.00
Positions (direct):
Al 0.4278 0.0000 0.8557
Pm 0.1485 0.0000 0.2971
Ho 0.8595 0.5000 0.7189
Pd 0.5642 0.5000 0.1283

The symmetry is Amm2. Its total magnetic moment is 0.0 μB per formula unit.

Run Q
Material: PmHoAlPd
Method: DFT, GGA-PBE
State: optimized geometry

a b c (Å): 5.1161 5.1161 5.1161
angles (deg): 60.00 60.00 60.00
Positions (direct):
Pd 0.5000 0.5000 0.5000
Ho 0.7500 0.7500 0.7500
Pm 0.2500 0.2500 0.2500
Al 0.0000 0.0000 0.0000

The symmetry is F-43m. Its total magnetic moment is 0.0 μB per formula unit.

Energy ordering: run P at the bottom, the next structure 5.3 kJ/mol of atoms above.

Run P
Material: SmHoAlPd
Method: DFT, GGA-PBE
State: optimized geometry

a b c (Å): 3.8196 4.4969 5.9525
angles (deg): 90.00 108.71 90.00
Positions (direct):
Ho 0.1421 0.0000 0.2841
Sm 0.8518 0.5000 0.7036
Al 0.5720 0.5000 0.1441
Pd 0.4341 0.0000 0.8682

The symmetry is Amm2. Its total magnetic moment is 0.0 μB per formula unit.

Run Q
Material: SmHoAlPd
Method: DFT, GGA-PBE
State: optimized geometry

a b c (Å): 5.1020 5.1020 5.1020
angles (deg): 60.00 60.00 60.00
Positions (direct):
Sm 0.7500 0.7500 0.7500
Ho 0.2500 0.2500 0.2500
Al 0.5000 0.5000 0.5000
Pd 0.0000 0.0000 0.0000

The symmetry is F-43m. Its total magnetic moment is 0.0 μB per formula unit.

Energy ordering: run P at the bottom, the next structure 5.0 kJ/mol of atoms above.